# 1
Ba3Y | PBE-GGA | relaxed

Output
Formation enthalpy at 0 K   214 meV/atom
SG   P6_3/mmc (194)
Electronic total energy   -2.84 eV per atom

Lattice parameters (Å, degrees): 8.3817 8.3817 6.7733 90.00 90.00 120.00
Sites, in units of the cell vectors:
Ba (0.1717, 0.3435, 0.2500)
Ba (0.1717, 0.8283, 0.2500)
Ba (0.3435, 0.1717, 0.7500)
Ba (0.6565, 0.8283, 0.2500)
Ba (0.8283, 0.1717, 0.7500)
Ba (0.8283, 0.6565, 0.7500)
Y (0.3333, 0.6667, 0.7500)
Y (0.6667, 0.3333, 0.2500)

# 2
Ba3Y | PBE-GGA | relaxed

Output
Formation enthalpy at 0 K   313 meV/atom
SG   Pm-3n (223)
Electronic total energy   -2.75 eV per atom

Lattice parameters (Å, degrees): 7.5399 7.5399 7.5399 90.00 90.00 90.00
Sites, in units of the cell vectors:
Ba (0.0000, 0.2500, 0.5000)
Ba (0.0000, 0.7500, 0.5000)
Ba (0.2500, 0.5000, 0.0000)
Ba (0.5000, 0.0000, 0.2500)
Ba (0.5000, 0.0000, 0.7500)
Ba (0.7500, 0.5000, 0.0000)
Y (0.0000, 0.0000, 0.0000)
Y (0.5000, 0.5000, 0.5000)

# 3
BaY5 | PBE-GGA | relaxed

Output
Formation enthalpy at 0 K   153 meV/atom
SG   P-62m (189)
Electronic total energy   -5.55 eV per atom

Lattice parameters (Å, degrees): 6.4535 6.4535 5.8793 90.00 90.00 120.00
Sites, in units of the cell vectors:
Ba (0.0000, 0.0000, 0.0000)
Y (0.0000, 0.6504, 0.5000)
Y (0.3333, 0.6667, 0.0000)
Y (0.3496, 0.3496, 0.5000)
Y (0.6504, 0.0000, 0.5000)
Y (0.6667, 0.3333, 0.0000)

Question: What is the formula in the third record?
Answer: BaY5

Question: Among the records above, which one has the highest formation enthalpy at 0 K?
Answer: number 2

Question: Which value of formation enthalpy at 0 K does entry 2 give?
Answer: 313 meV/atom